Computed, not measured: crystalline Cs3KGe2S6 at its relaxed geometry at the PBE level of DFT.

Values from the calculation:
magnetic moment: 0.0 Bohr magnetons per cell
ΔE_f (raw): -85 kJ/mol of atoms
volume: 42.1 Å³/atom

abc: 7.6255 7.6255 10.0351
angles: 90.00 90.00 120.00
Last column: nearest neighbours and their distance in Å.
Space group P-3m1 (No. 164)
One atom of each set of equivalent atoms:
Cs 0.0000 0.0000 0.0000  6 S 3.56
Cs 0.3333 0.6667 0.6961  6 S 3.83, 1 Ge 4.25
K 0.0000 0.0000 0.5000  6 S 3.22
Ge 0.3333 0.6667 0.2721  3 S 2.13
S 0.1720 0.3439 0.2731  1 Ge 2.13



Computed, not measured: crystalline CsKGeS3 at its relaxed geometry at the PBE level of DFT.

Values from the calculation:
magnetic moment: 0.0 Bohr magnetons per cell
ΔE_f (raw): -86 kJ/mol of atoms
volume: 38.6 Å³/atom

abc: 9.2599 9.9589 10.0479
angles: 90.00 92.83 90.00
Last column: nearest neighbours and their distance in Å.
Space group C2/m (No. 12)
One atom of each set of equivalent atoms:
Cs 0.2032 0.0000 0.1197  7 S 3.61-3.85, 1 Ge 3.99
K 0.0000 0.2679 0.5000  6 S 3.29-3.49, 2 Ge 3.68
Ge 0.1730 0.0000 0.7031  3 S 2.13-2.15
S 0.1246 0.1833 0.8009  1 Ge 2.13
S 0.2437 0.0000 0.5028  1 Ge 2.15